Version A
This record from the Alexandria database describes a crystal of ZnAg2Se relaxed with PBEsol. The functional is SCAN.

Cell lengths 2.9456, 2.9456, 9.1565 Å; angles 80.74, 80.74, 60.00 degrees
Fractional positions:
Se  0.5000  0.5000  0.5000
Ag  0.2559  0.2559  0.2323
Ag  0.7441  0.7441  0.7677
Zn  0.0000  0.0000  0.0000

Computed properties:
**Spin magnetization**: 0.0 μB/f.u.

***

Version B
This record from the Alexandria database describes a crystal of ZnAg2Se relaxed with PBEsol. The functional is SCAN.

Cell lengths 4.0486, 4.0486, 4.1499 Å; angles 90.00, 90.00, 90.00 degrees
Fractional positions:
Se  0.5000  0.5000  0.5000
Ag  0.0000  0.5000  0.0000
Ag  0.5000  0.0000  0.0000
Zn  0.0000  0.0000  0.5000

Computed properties:
**Spin magnetization**: 0.0 μB/f.u.

***

Which of them is most stable, and which least? Most stable: version B; least stable: version A.

***

Version A
This record from the Alexandria database describes a crystal of Zn3AgSe relaxed with PBEsol. The functional is SCAN.

Cell lengths 4.8265, 4.8265, 4.8265 Å; angles 90.00, 90.00, 90.00 degrees
Fractional positions:
Zn  0.5000  0.0000  0.0000
Zn  0.0000  0.0000  0.5000
Zn  0.0000  0.5000  0.0000
Se  0.0000  0.0000  0.0000
Ag  0.5000  0.5000  0.5000

Computed properties:
**Spin magnetization**: 0.0 μB/f.u.

***

Version B
This record from the Alexandria database describes a crystal of Zn3AgSe relaxed with PBEsol. The functional is SCAN.

Cell lengths 4.7745, 4.7745, 4.7745 Å; angles 90.00, 90.00, 90.00 degrees
Fractional positions:
Se  0.5000  0.5000  0.5000
Zn  0.5000  0.0000  0.0000
Zn  0.0000  0.0000  0.5000
Zn  0.0000  0.5000  0.0000
Ag  0.0000  0.0000  0.0000

Computed properties:
**Spin magnetization**: 0.0 μB/f.u.

***

Which of them is most stable, and which least? Most stable: version B; least stable: version A.

***

Version A
This record from the Alexandria database describes a crystal of SiAg4 relaxed with PBEsol. The functional is SCAN.

Cell lengths 3.6568, 3.6568, 7.3905 Å; angles 104.32, 104.32, 90.00 degrees
Fractional positions:
Si  0.0000  0.0000  0.0000
Ag  0.2500  0.7500  0.5000
Ag  0.7500  0.2500  0.5000
Ag  0.5951  0.5951  0.1902
Ag  0.4049  0.4049  0.8098

Computed properties:
**Spin magnetization**: 0.0 μB/f.u.

***

Version B
This record from the Alexandria database describes a crystal of SiAg4 relaxed with PBEsol. The functional is SCAN.

Cell lengths 5.4062, 5.4062, 5.6950 Å; angles 90.00, 90.00, 90.00 degrees
Fractional positions:
Ag  0.7390  0.1379  0.6578
Ag  0.7610  0.6379  0.8422
Ag  0.2390  0.3621  0.8422
Ag  0.1379  0.2610  0.3422
Ag  0.8621  0.7390  0.3422
Ag  0.2610  0.8621  0.6578
Ag  0.6379  0.2390  0.1578
Ag  0.3621  0.7610  0.1578
Si  0.5000  0.5000  0.5000
Si  0.0000  0.0000  0.0000

Computed properties:
**Spin magnetization**: 0.0 μB/f.u.

***

Which of them is most stable, and which least? Most stable: version B; least stable: version A.

***

Version A
This record from the Alexandria database describes a crystal of Si3Ag relaxed with PBEsol. The functional is SCAN.

Cell lengths 5.5299, 5.4463, 5.4463 Å; angles 119.85, 113.14, 66.86 degrees
Fractional positions:
Si  0.7432  0.7939  0.2061
Si  0.7458  0.2979  0.1490
Si  0.2542  0.1490  0.2979
Si  0.7458  0.8510  0.7021
Si  0.2542  0.7021  0.8510
Si  0.2568  0.2061  0.7939
Ag  0.2719  0.6522  0.3478
Ag  0.7281  0.3478  0.6522

Computed properties:
**Spin magnetization**: 0.0 μB/f.u.

***

Version B
This record from the Alexandria database describes a crystal of Si3Ag relaxed with PBEsol. The functional is SCAN.

Cell lengths 2.6479, 4.8263, 4.8263 Å; angles 90.00, 90.00, 90.00 degrees
Fractional positions:
Si  0.5000  0.5000  0.0000
Si  0.5000  0.0000  0.5000
Si  0.0000  0.0000  0.0000
Ag  0.0000  0.5000  0.5000

Computed properties:
**Spin magnetization**: 0.0 μB/f.u.

***

Version C
This record from the Alexandria database describes a crystal of Si3Ag relaxed with PBEsol. The functional is SCAN.

Cell lengths 2.7140, 4.6012, 5.6534 Å; angles 114.01, 103.89, 90.00 degrees
Fractional positions:
Si  0.7762  0.2762  0.5524
Si  0.2238  0.7238  0.4476
Si  0.5000  0.5000  0.0000
Ag  0.0000  0.0000  0.0000

Computed properties:
**Spin magnetization**: 0.0 μB/f.u.

***

Version D
This record from the Alexandria database describes a crystal of Si3Ag relaxed with PBEsol. The functional is SCAN.

Cell lengths 2.7818, 2.7818, 8.9850 Å; angles 90.00, 90.00, 120.00 degrees
Fractional positions:
Si  0.3333  0.6667  0.2616
Si  0.0000  0.0000  0.5000
Si  0.3333  0.6667  0.7384
Ag  0.0000  0.0000  0.0000

Computed properties:
**Spin magnetization**: 0.0 μB/f.u.

***

Which of them is most stable, and which least? Most stable: version A; least stable: version B.

***

Version A
This record from the Alexandria database describes a crystal of SiAg relaxed with PBEsol. The functional is SCAN.

Cell lengths 4.1052, 4.1052, 4.7861 Å; angles 90.00, 90.00, 120.00 degrees
Fractional positions:
Si  0.0000  0.0000  0.5000
Si  0.0000  0.0000  0.0000
Ag  0.3333  0.6667  0.2500
Ag  0.6667  0.3333  0.7500

Computed properties:
**Spin magnetization**: 0.0 μB/f.u.

***

Version B
This record from the Alexandria database describes a crystal of SiAg relaxed with PBEsol. The functional is SCAN.

Cell lengths 3.9841, 3.9841, 4.9076 Å; angles 113.95, 113.95, 90.00 degrees
Fractional positions:
Si  0.7500  0.2500  0.5000
Si  0.5000  0.5000  0.0000
Ag  0.2500  0.7500  0.5000
Ag  0.0000  0.0000  0.0000

Computed properties:
**Spin magnetization**: 0.0 μB/f.u.

***

Version C
This record from the Alexandria database describes a crystal of SiAg relaxed with PBEsol. The functional is SCAN.

Cell lengths 2.8052, 2.8052, 8.1946 Å; angles 90.00, 90.00, 103.32 degrees
Fractional positions:
Si  0.2500  0.7500  0.6136
Si  0.7500  0.2500  0.3864
Ag  0.2500  0.7500  0.1352
Ag  0.7500  0.2500  0.8648

Computed properties:
**Spin magnetization**: 0.0 μB/f.u.

***

Which of them is most stable, and which least? Most stable: version C; least stable: version B.

***

Version A
This record from the Alexandria database describes a crystal of SiTcAg relaxed with PBEsol. The functional is SCAN.

Cell lengths 4.1708, 4.1708, 4.1708 Å; angles 60.00, 60.00, 60.00 degrees
Fractional positions:
Si  0.5000  0.5000  0.5000
Tc  0.2500  0.2500  0.2500
Ag  0.0000  0.0000  0.0000

Computed properties:
**Spin magnetization**: 1.1 μB/f.u.

***

Version B
This record from the Alexandria database describes a crystal of SiTcAg relaxed with PBEsol. The functional is SCAN.

Cell lengths 3.0086, 3.0086, 5.2962 Å; angles 106.50, 106.50, 90.00 degrees
Fractional positions:
Ag  0.9933  0.9933  0.9866
Tc  0.6943  0.6943  0.3887
Si  0.3124  0.3124  0.6247

Computed properties:
**Spin magnetization**: 0.5 μB/f.u.

***

Which of them is most stable, and which least? Most stable: version B; least stable: version A.

***

Version A
This record from the Alexandria database describes a crystal of SiAgTe2 relaxed with PBEsol. The functional is SCAN.

Cell lengths 6.0682, 6.0682, 7.8596 Å; angles 112.71, 112.71, 90.00 degrees
Fractional positions:
Si  0.7500  0.2500  0.5000
Si  0.5000  0.5000  0.0000
Ag  0.0000  0.0000  0.0000
Ag  0.2500  0.7500  0.5000
Te  0.8576  0.3750  0.2500
Te  0.6250  0.6076  0.7500
Te  0.1250  0.1424  0.7500
Te  0.3924  0.8750  0.2500

Computed properties:
**Spin magnetization**: 0.0 μB/f.u.

***

Version B
This record from the Alexandria database describes a crystal of SiAgTe2 relaxed with PBEsol. The functional is SCAN.

Cell lengths 3.6013, 3.6013, 7.7055 Å; angles 90.00, 90.00, 110.74 degrees
Fractional positions:
Te  0.0000  0.0000  0.7575
Te  0.0000  0.0000  0.2425
Ag  0.5000  0.5000  0.5000
Si  0.5000  0.5000  0.0000

Computed properties:
**Spin magnetization**: 0.0 μB/f.u.

***

Version C
This record from the Alexandria database describes a crystal of SiAgTe2 relaxed with PBEsol. The functional is SCAN.

Cell lengths 3.1618, 3.1618, 10.8983 Å; angles 81.66, 81.66, 60.00 degrees
Fractional positions:
Te  0.9112  0.9112  0.2664
Te  0.0888  0.0888  0.7336
Si  0.0000  0.0000  0.0000
Ag  0.5000  0.5000  0.5000

Computed properties:
**Spin magnetization**: 0.0 μB/f.u.

***

Version D
This record from the Alexandria database describes a crystal of SiAgTe2 relaxed with PBEsol. The functional is SCAN.

Cell lengths 3.9884, 3.9884, 7.1042 Å; angles 73.70, 73.70, 60.00 degrees
Fractional positions:
Ag  0.0000  0.0000  0.0000
Te  0.7547  0.7547  0.7358
Te  0.2453  0.2453  0.2642
Si  0.5000  0.5000  0.5000

Computed properties:
**Spin magnetization**: 0.0 μB/f.u.

***

Which of them is most stable, and which least? Most stable: version D; least stable: version C.

***

Version A
This record from the Alexandria database describes a crystal of SiAg2Te relaxed with PBEsol. The functional is SCAN.

Cell lengths 3.8723, 3.8723, 6.6884 Å; angles 73.17, 73.17, 60.00 degrees
Fractional positions:
Ag  0.7569  0.7569  0.7294
Ag  0.0067  0.0067  0.9800
Si  0.4889  0.4889  0.5332
Te  0.2476  0.2476  0.2573

Computed properties:
**Spin magnetization**: 0.0 μB/f.u.

***

Version B
This record from the Alexandria database describes a crystal of SiAg2Te relaxed with PBEsol. The functional is SCAN.

Cell lengths 3.1255, 4.2156, 6.7089 Å; angles 108.31, 103.47, 90.00 degrees
Fractional positions:
Ag  0.9818  0.9818  0.9636
Ag  0.8211  0.3211  0.6422
Te  0.1995  0.6995  0.3991
Si  0.4975  0.4975  0.9951

Computed properties:
**Spin magnetization**: 0.0 μB/f.u.

***

Which of them is most stable, and which least? Most stable: version B; least stable: version A.

***

Version A
This record from the Alexandria database describes a crystal of SmAg3 relaxed with PBEsol. The functional is SCAN.

Cell lengths 4.7758, 6.2920, 6.2920 Å; angles 120.00, 90.00, 90.00 degrees
Fractional positions:
Ag  0.2500  0.1520  0.8480
Ag  0.2500  0.1520  0.3041
Ag  0.7500  0.3041  0.1520
Ag  0.7500  0.8480  0.6959
Ag  0.2500  0.6959  0.8480
Ag  0.7500  0.8480  0.1520
Sm  0.7500  0.3333  0.6667
Sm  0.2500  0.6667  0.3333

Computed properties:
**Spin magnetization**: 0.0 μB/f.u.

***

Version B
This record from the Alexandria database describes a crystal of SmAg3 relaxed with PBEsol. The functional is SCAN.

Cell lengths 4.8546, 4.8546, 4.8546 Å; angles 60.00, 60.00, 60.00 degrees
Fractional positions:
Ag  0.7500  0.7500  0.7500
Ag  0.5000  0.5000  0.5000
Ag  0.2500  0.2500  0.2500
Sm  0.0000  0.0000  0.0000

Computed properties:
**Spin magnetization**: 0.0 μB/f.u.

***

Which of them is most stable, and which least? Most stable: version A; least stable: version B.

***

Version A
This record from the Alexandria database describes a crystal of Zn2Ag2Sn relaxed with PBEsol. The functional is SCAN.

Cell lengths 2.8923, 7.7871, 7.7871 Å; angles 90.00, 90.00, 90.00 degrees
Fractional positions:
Sn  0.0000  0.5000  0.5000
Sn  0.0000  0.0000  0.0000
Ag  0.0000  0.1296  0.3704
Ag  0.0000  0.3704  0.8704
Ag  0.0000  0.6296  0.1296
Ag  0.0000  0.8704  0.6296
Zn  0.5000  0.1669  0.6669
Zn  0.5000  0.6669  0.8331
Zn  0.5000  0.8331  0.3331
Zn  0.5000  0.3331  0.1669

Computed properties:
**Spin magnetization**: 0.0 μB/f.u.

***

Version B
This record from the Alexandria database describes a crystal of Zn2Ag2Sn relaxed with PBEsol. The functional is SCAN.

Cell lengths 3.6592, 3.6592, 7.2442 Å; angles 104.63, 104.63, 90.00 degrees
Fractional positions:
Ag  0.6062  0.6062  0.2124
Ag  0.3938  0.3938  0.7876
Zn  0.2500  0.7500  0.5000
Zn  0.7500  0.2500  0.5000
Sn  0.0000  0.0000  0.0000

Computed properties:
**Spin magnetization**: 0.0 μB/f.u.

***

Which of them is most stable, and which least? Most stable: version A; least stable: version B.